A geometry-optimized KIn2SiF8 structure. Source: Alexandria via LeMat-Bulk, functional PBE-GGA.

a b c (Å): 5.4576 5.5436 6.7723
angles (deg): 96.20 95.05 90.44
Last column: nearest neighbours and their distance in Å.
Fractional positions:
K  0.0000  0.0000  0.0000  8 F 2.64-2.82
In  0.4916  0.4766  0.7231  3 F 2.24-2.33
In  0.5084  0.5234  0.2769  3 F 2.24-2.33
Si  0.0000  0.0000  0.5000  6 F 1.70-1.77
F  0.0536  0.7542  0.6260  1 Si 1.70
F  0.1817  0.1797  0.6905  1 Si 1.77
F  0.2518  0.9395  0.3722  1 Si 1.70
F  0.3387  0.6627  0.9981  2 In 2.24-2.26
F  0.6613  0.3373  0.0019  2 In 2.24-2.26
F  0.7482  0.0605  0.6278  1 Si 1.70
F  0.8183  0.8203  0.3095  1 Si 1.77
F  0.9464  0.2458  0.3740  1 Si 1.70

Values from the calculation:
magnetic moment	0.000	μB/atom
formation energy (no corrections)	-2618	meV/atom

=====

A geometry-optimized Ca2CuAs4Rh3 structure. Source: Alexandria via LeMat-Bulk, functional PBE-GGA.

a b c (Å): 4.2809 4.2809 10.0997
angles (deg): 90.00 90.00 90.00
Last column: nearest neighbours and their distance in Å.
Fractional positions:
Ca  0.0000  0.5000  0.2494  8 As 3.25-3.31, 6 Rh 3.28-3.31, 2 Cu 3.31
Ca  0.5000  0.0000  0.7506  8 As 3.25-3.31, 6 Rh 3.28-3.31, 2 Cu 3.31
Cu  0.5000  0.5000  0.0000  4 As 2.52
As  0.0000  0.0000  0.5000  4 Rh 2.48
As  0.0000  0.5000  0.8675  3 Rh 2.45-2.52, 2 Cu 2.52
As  0.5000  0.0000  0.1325  3 Rh 2.45-2.52, 2 Cu 2.52
As  0.5000  0.5000  0.5000  4 Rh 2.48
Rh  0.0000  0.0000  0.0000  4 As 2.52
Rh  0.0000  0.5000  0.6248  5 As 2.45-2.48
Rh  0.5000  0.0000  0.3752  5 As 2.45-2.48

Values from the calculation:
E_form	-0.67	eV per atom
magnetic moment	0.000	μB/atom